# AcHo2Cl

A relaxed AcHo2Cl crystal (PBE-GGA, Alexandria).

Cell: 10.587 10.587 10.587 Å, 20.31 20.31 20.31°
Sites, in units of the cell vectors:
Ac: 0.000 0.000 0.000
Ho: 0.113 0.113 0.113
Ho: 0.887 0.887 0.887
Cl: 0.500 0.500 0.500

Output
**E_form (uncorrected)**: -325 meV/atom
**Spin magnetization**: 0.00 Bohr magnetons per cell
**VASP energy**: -16.412 eV/cell